Record 1
# SiIr2Se

A relaxed structure of SiIr2Se (GGA-PBE, the Alexandria database).

Unit cell a=2.9138 b=2.9138 c=7.0987 alpha=90.00 beta=90.00 gamma=90.00
Fractional coordinates of all 4 atoms:
1 Si 0.0000 0.0000 0.0000
2 Ir 0.5000 0.5000 0.2001
3 Ir 0.5000 0.5000 0.7999
4 Se 0.0000 0.0000 0.5000

Results
SG = No. 123



Record 2
# SiIr2Se

A relaxed structure of SiIr2Se (GGA-PBE, the Alexandria database).

Unit cell a=6.2011 b=6.2011 c=6.2011 alpha=90.00 beta=90.00 gamma=90.00
Fractional coordinates of all 16 atoms:
1 Si 0.0000 0.0000 0.0000
2 Si 0.0000 0.5000 0.5000
3 Si 0.5000 0.0000 0.5000
4 Si 0.5000 0.5000 0.0000
5 Ir 0.2500 0.2500 0.2500
6 Ir 0.2500 0.2500 0.7500
7 Ir 0.2500 0.7500 0.2500
8 Ir 0.2500 0.7500 0.7500
9 Ir 0.7500 0.2500 0.2500
10 Ir 0.7500 0.2500 0.7500
11 Ir 0.7500 0.7500 0.2500
12 Ir 0.7500 0.7500 0.7500
13 Se 0.0000 0.0000 0.5000
14 Se 0.0000 0.5000 0.0000
15 Se 0.5000 0.0000 0.0000
16 Se 0.5000 0.5000 0.5000

Results
SG = No. 225



Record 3
# SiIr2Se

A relaxed structure of SiIr2Se (GGA-PBE, the Alexandria database).

Unit cell a=2.7851 b=4.9162 c=9.8695 alpha=90.00 beta=90.00 gamma=90.00
Fractional coordinates of all 8 atoms:
1 Si 0.0000 0.0000 0.0000
2 Si 0.5000 0.5000 0.0000
3 Ir 0.0000 0.0000 0.5548
4 Ir 0.0000 0.5000 0.7974
5 Ir 0.5000 0.0000 0.7974
6 Ir 0.5000 0.5000 0.5548
7 Se 0.0000 0.5000 0.3373
8 Se 0.5000 0.0000 0.3373

Results
SG = No. 35



Record 4
# TaSi2IrSe

A relaxed structure of TaSi2IrSe (GGA-PBE, the Alexandria database).

Unit cell a=4.4517 b=4.4517 c=5.2739 alpha=90.00 beta=90.00 gamma=90.00
Fractional coordinates of all 5 atoms:
1 Ta 0.0000 0.0000 0.0000
2 Si 0.0000 0.5000 0.5000
3 Si 0.5000 0.0000 0.5000
4 Ir 0.0000 0.0000 0.5000
5 Se 0.5000 0.5000 0.0000

Results
SG = No. 123



Record 5
# Th6Si2IrSe3

A relaxed structure of Th6Si2IrSe3 (GGA-PBE, the Alexandria database).

Unit cell a=9.4979 b=9.4979 c=8.6239 alpha=102.70 beta=102.70 gamma=25.42
Fractional coordinates of all 12 atoms:
1 Th 0.0024 0.0024 0.2303
2 Th 0.3294 0.3294 0.4256
3 Th 0.3388 0.3388 0.9086
4 Th 0.6612 0.6612 0.0914
5 Th 0.6706 0.6706 0.5744
6 Th 0.9976 0.9976 0.7697
7 Si 0.1660 0.1660 0.3338
8 Si 0.8340 0.8340 0.6662
9 Ir 0.5000 0.5000 0.0000
10 Se 0.1694 0.1694 0.8335
11 Se 0.5000 0.5000 0.5000
12 Se 0.8306 0.8306 0.1665

Results
SG = No. 12



Record 6
# Th8SiIr3Se4

A relaxed structure of Th8SiIr3Se4 (GGA-PBE, the Alexandria database).

Unit cell a=8.6348 b=8.6348 c=8.6348 alpha=57.86 beta=57.86 gamma=57.86
Fractional coordinates of all 16 atoms:
1 Th 0.2362 0.7457 0.7457
2 Th 0.2393 0.2393 0.2393
3 Th 0.2543 0.2543 0.7638
4 Th 0.2543 0.7638 0.2543
5 Th 0.7457 0.2362 0.7457
6 Th 0.7457 0.7457 0.2362
7 Th 0.7607 0.7607 0.7607
8 Th 0.7638 0.2543 0.2543
9 Si 0.5000 0.5000 0.5000
10 Ir 0.0000 0.0000 0.5000
11 Ir 0.0000 0.5000 0.0000
12 Ir 0.5000 0.0000 0.0000
13 Se 0.0000 0.0000 0.0000
14 Se 0.0000 0.5000 0.5000
15 Se 0.5000 0.0000 0.5000
16 Se 0.5000 0.5000 0.0000

Results
SG = No. 166



Record-wise E values, in eV/atom: -6.727 -6.388 -6.306 -6.529 -7.427 -7.823